The following is a PBE with a Hubbard U calculation of a relaxed ZnTeMoO6 crystal, from Alexandria.

- space-group type = No. 163
- energy relative to the lowest polymorph listed for this composition (meV/atom) = 120
- uncorrected energy (eV/atom) = -5.8220

Structure (POSCAR):
```
ZnTeMoO6
1.0
5.271 0.000 0.000
-2.635 4.565 0.000
0.000 0.000 9.050
Zn Te Mo O
2 2 2 12
Direct
0.000 0.000 0.000 Zn
0.000 0.000 0.500 Zn
0.333 0.667 0.250 Te
0.667 0.333 0.750 Te
0.333 0.667 0.750 Mo
0.667 0.333 0.250 Mo
0.015 0.356 0.133 O
0.015 0.659 0.367 O
0.341 0.356 0.367 O
0.341 0.985 0.133 O
0.356 0.015 0.633 O
0.356 0.341 0.867 O
0.644 0.659 0.133 O
0.644 0.985 0.367 O
0.659 0.015 0.867 O
0.659 0.644 0.633 O
0.985 0.341 0.633 O
0.985 0.644 0.867 O
```